[1]
# TbY5Al3

An optimized crystal structure of TbY5Al3 (PBE, Alexandria via LeMat-Bulk).

Properties
DFT formation energy (eV per formula unit): -2.6

```
data_TbY5Al3
_space_group_name_H-M_alt 'P 63/m c m'
_space_group_IT_number 193
_space_group_name_Hall '-P 6c 2'
_cell_length_a 9.1130
_cell_length_b 9.1130
_cell_length_c 6.6562
_cell_angle_alpha 90.00
_cell_angle_beta 90.00
_cell_angle_gamma 120.00
loop_
_atom_site_label
_atom_site_fract_x
_atom_site_fract_y
_atom_site_fract_z
Tb1 0.0000 0.0000 0.0000
Y1 0.0000 0.3316 0.2500
Y2 0.3333 0.6667 0.0000
Al1 0.0000 0.3357 0.7500
```

=====

[2]
# TbY4Al

An optimized crystal structure of TbY4Al (PBE, Alexandria via LeMat-Bulk).

Properties
Distance to the lowest polymorph of the same formula (meV/atom): 0
DFT formation energy (eV per formula unit): -0.8

```
data_TbY4Al
_space_group_name_H-M_alt 'P 4/m m m'
_space_group_IT_number 123
_space_group_name_Hall '-P 4 2'
_cell_length_a 3.555
_cell_length_b 3.555
_cell_length_c 14.041
_cell_angle_alpha 90.00
_cell_angle_beta 90.00
_cell_angle_gamma 90.00
loop_
_atom_site_label
_atom_site_fract_x
_atom_site_fract_y
_atom_site_fract_z
Tb1 0.000 0.000 0.000
Y1 0.000 0.000 0.366
Y2 0.500 0.500 0.179
Al1 0.500 0.500 0.500
```

=====

[3]
# Tb2YAl

An optimized crystal structure of Tb2YAl (PBE, Alexandria via LeMat-Bulk).

Properties
Distance to the lowest polymorph of the same formula (meV/atom): 14
DFT formation energy (eV per formula unit): -0.7

```
data_Tb2YAl
_space_group_name_H-M_alt 'P 4/m m m'
_space_group_IT_number 123
_space_group_name_Hall '-P 4 2'
_cell_length_a 4.770
_cell_length_b 4.770
_cell_length_c 4.801
_cell_angle_alpha 90.00
_cell_angle_beta 90.00
_cell_angle_gamma 90.00
loop_
_atom_site_label
_atom_site_fract_x
_atom_site_fract_y
_atom_site_fract_z
Tb1 0.000 0.500 0.000
Y1 0.000 0.000 0.500
Al1 0.500 0.500 0.500
```

=====

[4]
# Tb8Y6Al

An optimized crystal structure of Tb8Y6Al (PBE, Alexandria via LeMat-Bulk).

Properties
DFT formation energy (eV per formula unit): 1.4

```
data_Tb8Y6Al
_space_group_name_H-M_alt 'P -3'
_space_group_IT_number 147
_space_group_name_Hall '-P 3'
_cell_length_a 9.3703
_cell_length_b 9.3703
_cell_length_c 6.2758
_cell_angle_alpha 90.00
_cell_angle_beta 90.00
_cell_angle_gamma 120.00
loop_
_atom_site_label
_atom_site_fract_x
_atom_site_fract_y
_atom_site_fract_z
Tb1 0.0428 0.2612 0.3051
Tb2 0.3333 0.6667 0.3098
Y1 0.0937 0.4536 0.8134
Al1 0.0000 0.0000 0.0000
```

=====

Number 1: DOS at the Fermi energy 19.4 states/eV/cell. Number 2: DOS at the Fermi energy 6.7 states/eV/cell. Number 3: DOS at the Fermi energy 6.2 states/eV/cell. Number 4: DOS at the Fermi energy 20.4 states/eV/cell.